Material: K2InAg
Method: DFT, PBEsol
State: optimized geometry

Results
Calculated formation energy = 0.05 eV/atom
Volume = 277 Å³ per cell

```
data_K2InAg
_chemical_formula_sum 'K4 In2 Ag2'
_cell_length_a 4.1864
_cell_length_b 5.8736
_cell_length_c 11.2613
_cell_angle_alpha 90.00
_cell_angle_beta 90.00
_cell_angle_gamma 90.00
_space_group_name_H-M_alt 'I m m 2'
_space_group_IT_number 44
_space_group_name_Hall 'I 2 -2'
loop_
_atom_site_label
_atom_site_fract_x
_atom_site_fract_y
_atom_site_fract_z
K1 0.0000 0.0000 0.0000
K2 0.0000 0.5000 0.1967
In1 0.0000 0.0000 0.4148
Ag1 0.0000 0.5000 0.7633
```